Model one:
A relaxed Sn2PbI6 crystal. Source: Alexandria via LeMat-Bulk, functional GGA-PBE.

- SG: R3
- DOS(E_F): 0.00 states/eV per cell
- Volume: 47.46 A^3/atom
- Magnetic moment: 0.000 μB per cell

abc: 7.990 7.990 8.998
angles: 63.64 63.64 60.00
Fractional coordinates of all 9 atoms:
Sn: 0.692 0.692 0.925
Sn: 0.517 0.517 0.448
Pb: 0.343 0.343 0.971
I: 0.749 0.424 0.705
I: 0.122 0.749 0.705
I: 0.424 0.122 0.705
I: 0.287 0.625 0.182
I: 0.906 0.287 0.182
I: 0.625 0.906 0.182



Model two:
A relaxed Sn2PbI6 crystal. Source: Alexandria via LeMat-Bulk, functional GGA-PBE.

- SG: P-31m
- DOS(E_F): 0.00 states/eV per cell
- Volume: 45.75 A^3/atom
- Magnetic moment: 0.000 μB per cell

abc: 7.489 7.968 7.968
angles: 120.00 90.00 90.00
Fractional coordinates of all 9 atoms:
Sn: 0.500 0.333 0.667
Sn: 0.500 0.667 0.333
Pb: 0.500 0.000 0.000
I: 0.252 0.662 0.000
I: 0.252 0.338 0.338
I: 0.252 0.000 0.662
I: 0.748 0.338 0.000
I: 0.748 0.662 0.662
I: 0.748 0.000 0.338



Stability check: which of them is least stable? model one.



Model one:
A relaxed SnPb2I6 crystal. Source: Alexandria via LeMat-Bulk, functional GGA-PBE.

- SG: C2/m
- DOS(E_F): 0.00 states/eV per cell
- Volume: 46.66 A^3/atom
- Magnetic moment: 0.000 μB per cell

abc: 4.625 8.869 10.984
angles: 104.59 90.00 105.11
Fractional coordinates of all 9 atoms:
Sn: 0.000 0.000 0.500
Pb: 0.666 0.332 0.832
Pb: 0.334 0.668 0.168
I: 0.305 0.610 0.861
I: 0.695 0.390 0.139
I: 0.972 0.945 0.198
I: 0.635 0.270 0.525
I: 0.028 0.055 0.802
I: 0.365 0.730 0.475



Model two:
A relaxed SnPb2I6 crystal. Source: Alexandria via LeMat-Bulk, functional GGA-PBE.

- SG: P4_2/mnm
- DOS(E_F): 0.00 states/eV per cell
- Volume: 46.89 A^3/atom
- Magnetic moment: 0.000 μB per cell

abc: 7.661 7.661 14.380
angles: 90.00 90.00 90.00
Fractional coordinates of all 18 atoms:
Sn: 0.000 0.000 0.000
Sn: 0.500 0.500 0.500
Pb: 0.000 0.000 0.334
Pb: 0.500 0.500 0.834
Pb: 0.500 0.500 0.166
Pb: 0.000 0.000 0.666
I: 0.301 0.301 0.336
I: 0.699 0.699 0.336
I: 0.199 0.801 0.836
I: 0.801 0.199 0.836
I: 0.199 0.801 0.164
I: 0.801 0.199 0.164
I: 0.301 0.301 0.664
I: 0.699 0.699 0.664
I: 0.296 0.296 0.000
I: 0.704 0.704 0.000
I: 0.204 0.796 0.500
I: 0.796 0.204 0.500



Stability check: which of them is least stable? model two.



Model one:
A relaxed SnTePbI2 crystal. Source: Alexandria via LeMat-Bulk, functional GGA-PBE.

- SG: P4/mmm
- DOS(E_F): 2.18 states/eV per cell
- Volume: 45.60 A^3/atom
- Magnetic moment: 0.238 μB per cell

abc: 6.066 6.066 6.195
angles: 90.00 90.00 90.00
Last column: magnetic moment on the atom in μB.
Fractional coordinates of all 5 atoms:
Pb: 0.500 0.500 0.500  0.11
I: 0.000 0.500 0.000  0.00
I: 0.500 0.000 0.000  0.00
Te: 0.000 0.000 0.500  -0.02
Sn: 0.000 0.000 0.000  0.00



Model two:
A relaxed SnTePbI2 crystal. Source: Alexandria via LeMat-Bulk, functional GGA-PBE.

- SG: P4/mmm
- DOS(E_F): 2.04 states/eV per cell
- Volume: 44.65 A^3/atom
- Magnetic moment: 0.286 μB per cell

abc: 6.066 6.066 6.067
angles: 90.00 90.00 90.00
Last column: magnetic moment on the atom in μB.
Fractional coordinates of all 5 atoms:
Pb: 0.000 0.000 0.000  0.00
I: 0.000 0.500 0.000  0.00
I: 0.500 0.000 0.000  0.00
Te: 0.000 0.000 0.500  -0.03
Sn: 0.500 0.500 0.500  0.15



Stability check: which of them is least stable? model two.